*i*
The following is a DFT calculation (GGA-PBE) of YAs2IrSe after structural relaxation.

Structure (POSCAR):
```
YAs2IrSe
1.0
5.360 0.000 0.000
0.000 5.360 0.000
0.000 0.000 5.242
Y As Ir Se
1 2 1 1
Direct
0.000 0.000 0.000
0.000 0.500 0.000
0.500 0.000 0.000
0.500 0.500 0.500
0.000 0.000 0.500
```

Crystal system ... tetragonal
Volume ... 30.12 Å³/atom
Fermi-level density of states ... 6.57 states/eV per cell



*ii*
The following is a DFT calculation (GGA-PBE) of YAs2IrSe after structural relaxation.

Structure (POSCAR):
```
YAs2IrSe
1.0
4.731 0.000 0.000
0.000 4.731 0.000
0.000 0.000 5.309
Y As Ir Se
1 2 1 1
Direct
0.000 0.000 0.000
0.000 0.500 0.500
0.500 0.000 0.500
0.500 0.500 0.500
0.500 0.500 0.000
```

Crystal system ... tetragonal
Volume ... 23.76 Å³/atom
Fermi-level density of states ... 4.45 states/eV per cell



Comparing the structures above, *ii* comes out on top by 121.3 kJ/mol of atoms.